A relaxed Cs2ReI2 crystal. Source: Alexandria, functional GGA-PBE.

* calculated total energy: -3.137 eV per atom
* SG: P4/mbm (127)
* uncorrected formation energy: 1.57 eV/f.u.
* energy relative to the lowest polymorph listed for this composition: 0 meV per atom

a = 10.618 Å, b = 10.618 Å, c = 4.735 Å
α = 90.00°, β = 90.00°, γ = 90.00°
Positions (direct):
Cs 0.356 0.856 0.000
Cs 0.856 0.644 0.000
Cs 0.644 0.144 0.000
Cs 0.144 0.356 0.000
Re 0.000 0.000 0.000
Re 0.500 0.500 0.000
I 0.155 0.655 0.500
I 0.655 0.845 0.500
I 0.845 0.345 0.500
I 0.345 0.155 0.500

A relaxed FeTe2Pb crystal. Source: Alexandria, functional GGA-PBE.

* calculated total energy: -4.410 eV per atom
* SG: P2/m (10)
* uncorrected formation energy: 0.82 eV/f.u.

a = 4.382 Å, b = 7.502 Å, c = 6.126 Å
α = 35.52°, β = 90.00°, γ = 90.00°
Positions (direct):
Fe 0.500 0.500 0.500
Pb 0.000 0.000 0.500
Te 0.000 0.000 0.000
Te 0.500 0.500 0.000

A relaxed Ca2ScHg crystal. Source: Alexandria, functional GGA-PBE.

* calculated total energy: -2.688 eV per atom
* SG: R-3m (166)
* ΔH_f (0 K): -0.117 eV/f.u.

a = 10.707 Å, b = 10.707 Å, c = 10.707 Å
α = 19.96°, β = 19.96°, γ = 19.96°
Positions (direct):
Sc 0.750 0.750 0.750
Ca 0.993 0.993 0.993
Ca 0.507 0.507 0.507
Hg 0.250 0.250 0.250

A relaxed SrNp2FeN4 crystal. Source: Alexandria, functional GGA-PBE.

* calculated total energy: -9.605 eV per atom
* SG: Cmcm (63)
* uncorrected formation energy: -7.51 eV/f.u.

a = 3.474 Å, b = 6.056 Å, c = 11.336 Å
α = 90.00°, β = 90.00°, γ = 106.67°
Positions (direct):
Sr 0.097 0.195 0.750
Sr 0.903 0.805 0.250
Np 0.369 0.738 0.556
Np 0.631 0.262 0.056
Np 0.631 0.262 0.444
Np 0.369 0.738 0.944
Fe 0.829 0.659 0.750
Fe 0.171 0.341 0.250
N 0.260 0.521 0.105
N 0.740 0.479 0.605
N 0.740 0.479 0.895
N 0.260 0.521 0.395
N 0.000 0.000 0.500
N 0.000 0.000 0.000
N 0.424 0.848 0.750
N 0.576 0.152 0.250

A relaxed GeP2 crystal. Source: Alexandria, functional GGA-PBE.

* calculated total energy: -5.063 eV per atom
* SG: Pa-3 (205)
* ΔH_f (0 K): 0.250 eV/f.u.

a = 6.011 Å, b = 6.011 Å, c = 6.011 Å
α = 90.00°, β = 90.00°, γ = 90.00°
Positions (direct):
P 0.602 0.602 0.602
P 0.898 0.398 0.102
P 0.102 0.898 0.398
P 0.398 0.102 0.898
P 0.602 0.898 0.102
P 0.898 0.102 0.602
P 0.102 0.602 0.898
P 0.398 0.398 0.398
Ge 0.000 0.500 0.500
Ge 0.500 0.500 0.000
Ge 0.500 0.000 0.500
Ge 0.000 0.000 0.000

A relaxed Mn2Tl2CuSe6 crystal. Source: Alexandria, functional GGA-PBE.

* calculated total energy: -4.707 eV per atom
* SG: C2/m (12)
* uncorrected formation energy: -3.70 eV/f.u.

a = 6.466 Å, b = 6.466 Å, c = 7.786 Å
α = 97.80°, β = 97.80°, γ = 120.72°
Positions (direct):
Mn 0.329 0.671 0.500
Mn 0.671 0.329 0.500
Tl 0.840 0.160 0.000
Tl 0.160 0.840 0.000
Cu 0.000 0.000 0.500
Se 0.718 0.718 0.669
Se 0.061 0.407 0.684
Se 0.282 0.282 0.331
Se 0.407 0.061 0.684
Se 0.939 0.593 0.316
Se 0.593 0.939 0.316